## AlNi2O (PBE with a Hubbard U)

Data for crystalline AlNi2O at its relaxed geometry.

## Properties
Its symmetry is I-42d (122). As for the total energy: -3.328 eV/atom. For the total magnetic moment, the calculation gives 1.1 μB per formula unit. The value obtained for the polymorph energy (0 for the lowest one) is 0.0 meV per atom.

Cell: 4.628 4.628 6.408 Å, 68.83 68.83 90.00°
Last column: magnetic moment on the atom in μB.
Fractional coordinates of all 8 atoms:
Al  0.000  0.000  0.000  -0.06
Ni  0.875  0.749  0.750  0.79
Al  0.750  0.250  0.500  -0.06
Ni  0.375  0.501  0.750  0.78
Ni  0.251  0.625  0.250  0.75
Ni  0.499  0.125  0.250  0.75
O  0.500  0.500  0.000  -0.11
O  0.250  0.750  0.500  -0.11